Version one
Computed, not measured: a relaxed structure of K2FeCo at the GGA-PBE level of DFT.

It has space group R-3m (No. 166, hexagonal axes), with a = 2.9382 Å, b = 2.9382 Å, c = 33.7544 Å, α = 90.00°, β = 90.00° and γ = 120.00°. The distinct sites, in fractional coordinates, are K at (0.0000, 0.0000, 0.2479), Fe at (0.0000, 0.0000, 0.0000) and Co at (0.0000, 0.0000, 0.5000).

Version two
Computed, not measured: a relaxed structure of K2FeCo at the GGA-PBE level of DFT.

It has space group Cmmm (No. 65), with a = 3.8181 Å, b = 4.3643 Å, c = 11.0286 Å, α = 90.00°, β = 90.00° and γ = 90.00°. The distinct sites, in fractional coordinates, are K at (0.0000, 0.0000, 0.2410), Fe at (0.0000, 0.5000, 0.5000) and Co at (0.0000, 0.5000, 0.0000).

Version three
Computed, not measured: a relaxed structure of K2FeCo at the GGA-PBE level of DFT.

It has space group C2/m (No. 12), with a = 5.8094 Å, b = 10.9026 Å, c = 2.8908 Å, α = 90.00°, β = 90.15° and γ = 90.00°. The distinct sites, in fractional coordinates, are K at (0.2500, 0.2500, 0.0000), Fe at (0.0000, 0.0000, 0.5000) and Co at (0.0000, 0.5000, 0.5000).

Which of them is the least stable? Correct choice: version one.

Version one
Computed, not measured: a relaxed structure of KFe2Co at the GGA-PBE level of DFT.

It has space group P4/mmm (No. 123), with a = 4.0167 Å, b = 4.0167 Å, c = 4.0664 Å, α = 90.00°, β = 90.00° and γ = 90.00°. The distinct sites, in fractional coordinates, are K at (0.0000, 0.0000, 0.0000), Fe at (0.0000, 0.5000, 0.5000) and Co at (0.5000, 0.5000, 0.0000).

Version two
Computed, not measured: a relaxed structure of KFe2Co at the GGA-PBE level of DFT.

It has space group Cmmm (No. 65), with a = 5.4707 Å, b = 9.0873 Å, c = 2.5392 Å, α = 90.00°, β = 90.00° and γ = 90.00°. The distinct sites, in fractional coordinates, are K at (0.0000, 0.0000, 0.0000), Fe at (0.2500, 0.2500, 0.5000) and Co at (0.0000, 0.5000, 0.0000).

Version three
Computed, not measured: a relaxed structure of KFe2Co at the GGA-PBE level of DFT.

It has space group Immm (No. 71), with a = 2.6443 Å, b = 5.3315 Å, c = 10.0870 Å, α = 90.00°, β = 90.00° and γ = 90.00°. The distinct sites, in fractional coordinates, are K at (0.0000, 0.0000, 0.0000), Fe at (0.0000, 0.5000, 0.1977) and Co at (0.0000, 0.0000, 0.5000).

Version four
Computed, not measured: a relaxed structure of KFe2Co at the GGA-PBE level of DFT.

It has space group Imm2 (No. 44), with a = 2.6547 Å, b = 5.3354 Å, c = 9.8842 Å, α = 90.00°, β = 90.00° and γ = 90.00°. The distinct sites, in fractional coordinates, are K at (0.0000, 0.0000, 0.0000), Fe at (0.0000, 0.0000, 0.4892), Fe at (0.0000, 0.5000, 0.1984) and Co at (0.0000, 0.5000, 0.7911).

Which of them is the least stable? Correct choice: version one.

Version one
Computed, not measured: a relaxed structure of KFe3Co at the GGA-PBE level of DFT.

It has space group Pm-3m (No. 221), with a = 4.5714 Å, b = 4.5714 Å, c = 4.5714 Å, α = 90.00°, β = 90.00° and γ = 90.00°. The distinct sites, in fractional coordinates, are K at (0.0000, 0.0000, 0.0000), Fe at (0.0000, 0.5000, 0.5000) and Co at (0.5000, 0.5000, 0.5000).

Version two
Computed, not measured: a relaxed structure of KFe3Co at the GGA-PBE level of DFT.

It has space group Pm-3m (No. 221), with a = 4.3744 Å, b = 4.3744 Å, c = 4.3744 Å, α = 90.00°, β = 90.00° and γ = 90.00°. The distinct sites, in fractional coordinates, are K at (0.0000, 0.0000, 0.0000), Fe at (0.0000, 0.0000, 0.5000) and Co at (0.5000, 0.5000, 0.5000).

Which of them is the least stable? Correct choice: version two.